1.
A relaxed Pa2BiAs2N2 crystal. Source: Alexandria via LeMat-Bulk, functional GGA-PBE.

Calculated values
**Symmetry**: P-3m1 (164)
**Electronic total energy**: -7.6761 eV per atom
**Formation energy (no corrections)**: -701 meV per atom

Unit cell a=3.771 b=3.771 c=12.707 alpha=90.00 beta=90.00 gamma=120.00
Positions (direct):
Pa1 0.667 0.333 0.244
Pa2 0.333 0.667 0.756
Bi1 0.000 0.000 0.000
As1 0.000 0.000 0.409
As2 0.000 0.000 0.591
N1 0.667 0.333 0.780
N2 0.333 0.667 0.220

---

2.
A relaxed Pm3BiAsN crystal. Source: Alexandria via LeMat-Bulk, functional GGA-PBE.

Calculated values
**Symmetry**: P2_1/m (11)
**Electronic total energy**: -6.3816 eV per atom
**Formation energy (no corrections)**: -1197 meV per atom

Unit cell a=4.245 b=9.077 c=9.539 alpha=101.38 beta=90.00 gamma=90.00
Positions (direct):
Pm1 0.250 0.845 0.486
Pm2 0.750 0.884 0.166
Pm3 0.750 0.418 0.149
Pm4 0.750 0.155 0.514
Pm5 0.250 0.582 0.851
Pm6 0.250 0.116 0.834
Bi1 0.750 0.825 0.785
Bi2 0.250 0.175 0.215
As1 0.250 0.648 0.160
As2 0.750 0.352 0.840
N1 0.250 0.090 0.598
N2 0.750 0.910 0.402

---

3.
A relaxed Pr3BiAsN crystal. Source: Alexandria via LeMat-Bulk, functional GGA-PBE.

Calculated values
**Symmetry**: P2_1/m (11)
**Electronic total energy**: -6.3610 eV per atom
**Formation energy (no corrections)**: -1162 meV per atom

Unit cell a=4.317 b=9.189 c=9.700 alpha=101.68 beta=90.00 gamma=90.00
Positions (direct):
Pr1 0.250 0.843 0.485
Pr2 0.750 0.887 0.164
Pr3 0.750 0.420 0.151
Pr4 0.750 0.157 0.515
Pr5 0.250 0.580 0.849
Pr6 0.250 0.113 0.836
Bi1 0.750 0.822 0.783
Bi2 0.250 0.178 0.217
As1 0.250 0.650 0.157
As2 0.750 0.350 0.843
N1 0.250 0.089 0.599
N2 0.750 0.911 0.401

---

4.
A relaxed BiAsSN2 crystal. Source: Alexandria via LeMat-Bulk, functional GGA-PBE.

Calculated values
**Energy above the most stable polymorph in this dataset**: 343 kJ/mol of formula units
**Symmetry**: P4/mmm (123)
**Electronic total energy**: -4.1136 eV per atom
**Formation energy (no corrections)**: 1748 meV per atom

Unit cell a=4.257 b=4.257 c=5.443 alpha=90.00 beta=90.00 gamma=90.00
Site moments in Bohr magnetons follow the coordinates.
Positions (direct):
S1 0.000 0.000 0.500  0.01
As1 0.500 0.500 0.500  -0.19
Bi1 0.000 0.000 0.000  -0.03
N1 0.000 0.500 0.000  0.50
N2 0.500 0.000 0.000  0.50